Record 1
# YNpSbS2

A geometry-optimized YNpSbS2 structure (GGA-PBE, Alexandria via LeMat-Bulk).

Unit cell a=4.349 b=4.349 c=13.556 alpha=90.00 beta=90.00 gamma=90.00
Space group I4mm (No. 107)
One atom of each set of equivalent atoms:
Y (0.000, 0.000, 0.000) x2
Np (0.000, 0.000, 0.731) x2
Sb (0.000, 0.000, 0.358) x2
S (0.000, 0.500, 0.115) x4

***

Record 2
# HgIr3

A geometry-optimized HgIr3 structure (GGA-PBE, Alexandria via LeMat-Bulk).

Properties
E_form ... 0.904 eV per atom

Unit cell a=5.096 b=5.096 c=5.096 alpha=90.00 beta=90.00 gamma=90.00
Space group Pm-3n (No. 223)
One atom of each set of equivalent atoms:
Hg (0.000, 0.000, 0.000) x2
Ir (0.000, 0.250, 0.500) x6

***

Record 3
# BaFePCl2

A geometry-optimized BaFePCl2 structure (GGA-PBE, Alexandria via LeMat-Bulk).

Properties
Energy above the lowest structure with this stoichiometry ... 1055.4 meV/atom

Unit cell a=6.008 b=6.008 c=6.440 alpha=90.00 beta=90.00 gamma=90.00
Space group P4/mmm (No. 123)
One atom of each set of equivalent atoms:
Ba (0.000, 0.000, 0.000) x1
Fe (0.500, 0.500, 0.500) x1
P (0.000, 0.000, 0.500) x1
Cl (0.000, 0.500, 0.000) x2

***

Record 4
# KGdTl2

A geometry-optimized KGdTl2 structure (GGA-PBE, Alexandria via LeMat-Bulk).

Properties
E_form ... -0.223 eV per atom
Energy above the lowest structure with this stoichiometry ... 0.0 meV/atom

Unit cell a=3.887 b=3.887 c=8.669 alpha=90.00 beta=90.00 gamma=90.00
Space group P4/mmm (No. 123)
One atom of each set of equivalent atoms:
K (0.000, 0.000, 0.000) x1
Gd (0.000, 0.000, 0.500) x1
Tl (0.500, 0.500, 0.290) x2

***

Record 5
# HRhF2

A geometry-optimized HRhF2 structure (GGA-PBE, Alexandria via LeMat-Bulk).

Properties
Energy above the lowest structure with this stoichiometry ... 428.0 meV/atom

Unit cell a=4.565 b=4.565 c=7.290 alpha=90.00 beta=90.00 gamma=90.00
Space group I-42d (No. 122)
One atom of each set of equivalent atoms:
H (0.000, 0.000, 0.000) x4
Rh (0.000, 0.000, 0.500) x4
F (0.094, 0.250, 0.125) x8

***

Sequential energy output: -7.375; -5.817; -3.687; -5.200; -3.998 eV per atom